[1]
PmSiOs: relaxed, PBE.

Calculated values
formation energy from raw total energies = -61.5 kJ/mol of atoms
energy above the lowest structure with this stoichiometry = 0 meV/atom
electronic total energy = -7.7724 eV per atom
space-group type = No. 129
DOS at the Fermi energy = 5.57 states/eV per cell

a b c (Å): 4.201 4.201 6.941
angles (deg): 90.00 90.00 90.00
Fractional coordinates of all 6 atoms:
Pm: 0.250 0.250 0.176
Pm: 0.750 0.750 0.824
Si: 0.250 0.250 0.681
Si: 0.750 0.750 0.319
Os: 0.250 0.750 0.500
Os: 0.750 0.250 0.500


[2]
PmSi3Os3: relaxed, PBE.

Calculated values
formation energy from raw total energies = -19.6 kJ/mol of atoms
energy above the lowest structure with this stoichiometry = 0 meV/atom
electronic total energy = -8.0189 eV per atom
space-group type = No. 176
DOS at the Fermi energy = 6.86 states/eV per cell

a b c (Å): 8.140 8.140 4.175
angles (deg): 90.00 90.00 120.00
Fractional coordinates of all 14 atoms:
Pm: 0.333 0.667 0.250
Pm: 0.667 0.333 0.750
Si: 0.053 0.619 0.750
Si: 0.381 0.434 0.750
Si: 0.434 0.053 0.250
Si: 0.566 0.947 0.750
Si: 0.619 0.566 0.250
Si: 0.947 0.381 0.250
Os: 0.053 0.317 0.750
Os: 0.264 0.947 0.750
Os: 0.317 0.264 0.250
Os: 0.683 0.736 0.750
Os: 0.736 0.053 0.250
Os: 0.947 0.683 0.250


[3]
PmSi3Os3: relaxed, PBE.

Calculated values
formation energy from raw total energies = -15.8 kJ/mol of atoms
energy above the lowest structure with this stoichiometry = 40 meV/atom
electronic total energy = -7.9790 eV per atom
space-group type = No. 148
DOS at the Fermi energy = 8.65 states/eV per cell

a b c (Å): 7.846 7.846 7.846
angles (deg): 50.38 50.38 50.38
Fractional coordinates of all 14 atoms:
Pm: 0.166 0.166 0.166
Pm: 0.834 0.834 0.834
Si: 0.145 0.387 0.688
Si: 0.312 0.855 0.613
Si: 0.387 0.688 0.145
Si: 0.613 0.312 0.855
Si: 0.688 0.145 0.387
Si: 0.855 0.613 0.312
Os: 0.012 0.257 0.593
Os: 0.257 0.593 0.012
Os: 0.407 0.988 0.743
Os: 0.593 0.012 0.257
Os: 0.743 0.407 0.988
Os: 0.988 0.743 0.407


Please write out number 1 again, unchanged.
PmSiOs: relaxed, PBE.

Calculated values
formation energy from raw total energies = -61.5 kJ/mol of atoms
energy above the lowest structure with this stoichiometry = 0 meV/atom
electronic total energy = -7.7724 eV per atom
space-group type = No. 129
DOS at the Fermi energy = 5.57 states/eV per cell

a b c (Å): 4.201 4.201 6.941
angles (deg): 90.00 90.00 90.00
Fractional coordinates of all 6 atoms:
Pm: 0.250 0.250 0.176
Pm: 0.750 0.750 0.824
Si: 0.250 0.250 0.681
Si: 0.750 0.750 0.319
Os: 0.250 0.750 0.500
Os: 0.750 0.250 0.500


- Number 2 is which compound?
  PmSi3Os3


- The lowest electronic total energy belongs to which entry?
  number 2